Li3Pt | GGA-PBE | optimized geometry

Its energy relative to the lowest polymorph listed for this composition is 56 meV per atom. The density is 5653 kg/m³. The formation energy comes out at -0.37 eV per atom. The value obtained for the total energy is -3.31 eV/atom.

It has space group Cmcm (No. 63), with a = 4.337 Å, b = 7.505 Å, c = 7.795 Å, α = 90.00°, β = 90.00° and γ = 90.00°. The distinct sites, in fractional coordinates, are Li at (0.000, 0.001, 0.250), Li at (0.000, 0.333, 0.580) and Pt at (0.000, 0.334, 0.250).